[1]
VASP calculation (PBE-GGA) on an optimized crystal structure of Pm2AgC2O7.

a = 10.2343 Å, b = 10.2343 Å, c = 10.2343 Å
α = 28.50°, β = 28.50°, γ = 28.50°
Fractional coordinates of all 12 atoms:
1 Pm 0.0708 0.0708 0.0708
2 Pm 0.9292 0.9292 0.9292
3 Ag 0.5000 0.5000 0.5000
4 C 0.2500 0.2500 0.2500
5 C 0.7500 0.7500 0.7500
6 O 0.0000 0.0000 0.0000
7 O 0.0468 0.6016 0.6016
8 O 0.3984 0.3984 0.9532
9 O 0.3984 0.9532 0.3984
10 O 0.6016 0.0468 0.6016
11 O 0.6016 0.6016 0.0468
12 O 0.9532 0.3984 0.3984

Total DFT energy (no corrections) = -7.41 eV/atom
V = 17.98 Å³ per atom
DOS at the Fermi energy = 1.23 states/eV per cell
Spin magnetization = 0.00 μB per cell
Formation energy without anion corrections = -1.95 eV/atom


[2]
VASP calculation (PBE-GGA) on an optimized crystal structure of PrAgCO4.

a = 6.2951 Å, b = 6.2951 Å, c = 6.2951 Å
α = 127.68°, β = 102.84°, γ = 99.59°
Fractional coordinates of all 14 atoms:
1 Pr 0.0000 0.0000 0.0000
2 Pr 0.5000 0.0000 0.5000
3 Ag 0.5000 0.0000 0.0000
4 Ag 0.5000 0.5000 0.5000
5 C 0.1245 0.3745 0.7500
6 C 0.8755 0.6255 0.2500
7 O 0.0992 0.7022 0.3969
8 O 0.1947 0.2978 0.8969
9 O 0.2466 0.2677 0.5211
10 O 0.2466 0.7255 0.9789
11 O 0.7534 0.2745 0.0211
12 O 0.7534 0.7323 0.4789
13 O 0.8053 0.7022 0.1031
14 O 0.9008 0.2978 0.6031

Total DFT energy (no corrections) = -6.73 eV/atom
V = 12.65 Å³ per atom
Spin magnetization = 0.00 μB per cell
Formation energy without anion corrections = -1.49 eV/atom


[3]
VASP calculation (PBE-GGA) on an optimized crystal structure of PrAg2C2O6.

a = 5.0028 Å, b = 5.0028 Å, c = 8.0033 Å
α = 90.00°, β = 90.00°, γ = 120.00°
Fractional coordinates of all 11 atoms:
1 Pr 0.0000 0.0000 0.0000
2 Ag 0.3333 0.6667 0.4056
3 Ag 0.6667 0.3333 0.5944
4 C 0.3333 0.6667 0.8188
5 C 0.6667 0.3333 0.1812
6 O 0.0640 0.4182 0.8203
7 O 0.3541 0.9360 0.8203
8 O 0.4182 0.3541 0.1797
9 O 0.5818 0.6459 0.8203
10 O 0.6459 0.0640 0.1797
11 O 0.9360 0.5818 0.1797

Total DFT energy (no corrections) = -6.75 eV/atom
V = 15.77 Å³ per atom
DOS at the Fermi energy = 1.28 states/eV per cell
Spin magnetization = 0.00 μB per cell
Formation energy without anion corrections = -1.41 eV/atom


[4]
VASP calculation (PBE-GGA) on an optimized crystal structure of PrAgC2O6.

a = 6.6487 Å, b = 6.6487 Å, c = 7.6016 Å
α = 112.92°, β = 112.92°, γ = 84.60°
Fractional coordinates of all 20 atoms:
1 Pr 0.0921 0.9079 0.7500
2 Pr 0.9079 0.0921 0.2500
3 Ag 0.4298 0.5702 0.2500
4 Ag 0.5702 0.4298 0.7500
5 C 0.1160 0.3756 0.7871
6 C 0.3756 0.1160 0.2871
7 C 0.6244 0.8840 0.7129
8 C 0.8840 0.6244 0.2129
9 O 0.0099 0.7861 0.3759
10 O 0.1371 0.5612 0.7827
11 O 0.2139 0.9901 0.1241
12 O 0.2191 0.3278 0.9505
13 O 0.3278 0.2191 0.4505
14 O 0.4388 0.8629 0.7173
15 O 0.5612 0.1371 0.2827
16 O 0.6722 0.7809 0.5495
17 O 0.7809 0.6722 0.0495
18 O 0.7861 0.0099 0.8759
19 O 0.8629 0.4388 0.2173
20 O 0.9901 0.2139 0.6241

Total DFT energy (no corrections) = -7.35 eV/atom
V = 14.22 Å³ per atom
DOS at the Fermi energy = 0.00 states/eV per cell
Spin magnetization = 0.00 μB per cell
Formation energy without anion corrections = -1.77 eV/atom


[5]
VASP calculation (PBE-GGA) on an optimized crystal structure of RbAgC2O6.

a = 7.3885 Å, b = 7.3885 Å, c = 6.4204 Å
α = 104.55°, β = 104.55°, γ = 92.01°
Fractional coordinates of all 20 atoms:
1 Rb 0.1463 0.8537 0.7500
2 Rb 0.8537 0.1463 0.2500
3 Ag 0.4095 0.5905 0.2500
4 Ag 0.5905 0.4095 0.7500
5 C 0.2297 0.3369 0.8036
6 C 0.3369 0.2297 0.3036
7 C 0.6631 0.7703 0.6964
8 C 0.7703 0.6631 0.1964
9 O 0.0661 0.2563 0.7272
10 O 0.2369 0.3718 0.2770
11 O 0.2563 0.0661 0.2272
12 O 0.2676 0.5183 0.9039
13 O 0.3718 0.2369 0.7770
14 O 0.4817 0.7324 0.5961
15 O 0.5183 0.2676 0.4039
16 O 0.6282 0.7631 0.2230
17 O 0.7324 0.4817 0.0961
18 O 0.7437 0.9339 0.7728
19 O 0.7631 0.6282 0.7230
20 O 0.9339 0.7437 0.2728

Total DFT energy (no corrections) = -6.32 eV/atom
V = 16.33 Å³ per atom
Spin magnetization = 0.00 μB per cell
Formation energy without anion corrections = -1.12 eV/atom


[6]
VASP calculation (PBE-GGA) on an optimized crystal structure of RbAg2C2O6.

a = 5.7268 Å, b = 6.0314 Å, c = 6.3521 Å
α = 111.74°, β = 103.60°, γ = 99.17°
Fractional coordinates of all 11 atoms:
1 Rb 0.0000 0.0000 0.0000
2 Ag 0.2996 0.6948 0.4514
3 Ag 0.7004 0.3052 0.5486
4 C 0.2543 0.2557 0.6683
5 C 0.7457 0.7443 0.3317
6 O 0.0617 0.2860 0.7348
7 O 0.3053 0.3335 0.5113
8 O 0.4028 0.1483 0.7537
9 O 0.5972 0.8517 0.2463
10 O 0.6947 0.6665 0.4887
11 O 0.9383 0.7140 0.2652

Total DFT energy (no corrections) = -6.05 eV/atom
V = 17.32 Å³ per atom
DOS at the Fermi energy = 2.21 states/eV per cell
Spin magnetization = 0.00 μB per cell
Formation energy without anion corrections = -1.06 eV/atom


[7]
VASP calculation (PBE-GGA) on an optimized crystal structure of Rb2AgC2O6.

a = 6.5340 Å, b = 6.5340 Å, c = 6.7727 Å
α = 114.54°, β = 114.54°, γ = 46.99°
Fractional coordinates of all 11 atoms:
1 Rb 0.1907 0.1907 0.1964
2 Rb 0.8093 0.8093 0.8036
3 Ag 0.0000 0.0000 0.5000
4 C 0.4978 0.4978 0.7233
5 C 0.5022 0.5022 0.2767
6 O 0.2227 0.6475 0.2342
7 O 0.3525 0.7773 0.7658
8 O 0.3803 0.3803 0.6513
9 O 0.6197 0.6197 0.3487
10 O 0.6475 0.2227 0.2342
11 O 0.7773 0.3525 0.7658

Total DFT energy (no corrections) = -6.20 eV/atom
V = 17.14 Å³ per atom
DOS at the Fermi energy = 1.87 states/eV per cell
Spin magnetization = 0.00 μB per cell
Formation energy without anion corrections = -1.38 eV/atom


[8]
VASP calculation (PBE-GGA) on an optimized crystal structure of AgC2SO.

a = 3.4952 Å, b = 3.4952 Å, c = 4.4167 Å
α = 90.00°, β = 90.00°, γ = 90.00°
Fractional coordinates of all 5 atoms:
1 Ag 0.0000 0.0000 0.0000
2 C 0.0000 0.5000 0.5000
3 C 0.5000 0.0000 0.5000
4 S 0.5000 0.5000 0.5000
5 O 0.5000 0.5000 0.0000

Total DFT energy (no corrections) = -4.20 eV/atom
V = 10.79 Å³ per atom
DOS at the Fermi energy = 1.66 states/eV per cell
Spin magnetization = 0.93 μB per cell
Formation energy without anion corrections = 1.88 eV/atom


[9]
VASP calculation (PBE-GGA) on an optimized crystal structure of AgCS2O.

a = 4.2469 Å, b = 4.2469 Å, c = 3.9765 Å
α = 90.00°, β = 90.00°, γ = 90.00°
Fractional coordinates of all 5 atoms:
1 Ag 0.0000 0.0000 0.0000
2 C 0.5000 0.5000 0.0000
3 S 0.0000 0.5000 0.5000
4 S 0.5000 0.0000 0.5000
5 O 0.5000 0.5000 0.5000

Total DFT energy (no corrections) = -3.41 eV/atom
V = 14.34 Å³ per atom
DOS at the Fermi energy = 3.12 states/eV per cell
Spin magnetization = 0.97 μB per cell
Formation energy without anion corrections = 1.65 eV/atom


[10]
VASP calculation (PBE-GGA) on an optimized crystal structure of ScAg2C2O6.

a = 5.0443 Å, b = 5.0443 Å, c = 7.6958 Å
α = 112.40°, β = 112.40°, γ = 62.53°
Fractional coordinates of all 11 atoms:
1 Sc 0.0000 0.0000 0.0000
2 Ag 0.1821 0.1821 0.5813
3 Ag 0.8179 0.8179 0.4187
4 C 0.4263 0.4263 0.1742
5 C 0.5737 0.5737 0.8258
6 O 0.2662 0.2662 0.1345
7 O 0.2751 0.7011 0.7997
8 O 0.2989 0.7249 0.2003
9 O 0.7011 0.2751 0.7997
10 O 0.7249 0.2989 0.2003
11 O 0.7338 0.7338 0.8655

Total DFT energy (no corrections) = -6.88 eV/atom
V = 14.14 Å³ per atom
DOS at the Fermi energy = 1.55 states/eV per cell
Spin magnetization = 0.00 μB per cell
Formation energy without anion corrections = -1.41 eV/atom


[11]
VASP calculation (PBE-GGA) on an optimized crystal structure of ScAgC2O6.

a = 6.1570 Å, b = 6.1570 Å, c = 6.8948 Å
α = 108.71°, β = 108.71°, γ = 87.82°
Fractional coordinates of all 20 atoms:
1 Sc 0.0794 0.9206 0.7500
2 Sc 0.9206 0.0794 0.2500
3 Ag 0.4166 0.5834 0.2500
4 Ag 0.5834 0.4166 0.7500
5 C 0.0936 0.3827 0.7658
6 C 0.3827 0.0936 0.2658
7 C 0.6173 0.9064 0.7342
8 C 0.9064 0.6173 0.2342
9 O 0.0256 0.7976 0.3931
10 O 0.0912 0.5805 0.7469
11 O 0.2024 0.9744 0.1069
12 O 0.2104 0.3335 0.9383
13 O 0.3335 0.2104 0.4383
14 O 0.4195 0.9088 0.7531
15 O 0.5805 0.0912 0.2469
16 O 0.6665 0.7896 0.5617
17 O 0.7896 0.6665 0.0617
18 O 0.7976 0.0256 0.8931
19 O 0.9088 0.4195 0.2531
20 O 0.9744 0.2024 0.6069

Total DFT energy (no corrections) = -7.44 eV/atom
V = 11.69 Å³ per atom
DOS at the Fermi energy = 0.00 states/eV per cell
Spin magnetization = 0.00 μB per cell
Formation energy without anion corrections = -1.70 eV/atom


[12]
VASP calculation (PBE-GGA) on an optimized crystal structure of SmAgCO4.

a = 6.1992 Å, b = 6.1992 Å, c = 6.1992 Å
α = 126.81°, β = 104.54°, γ = 98.62°
Fractional coordinates of all 14 atoms:
1 Sm 0.0000 0.0000 0.0000
2 Sm 0.5000 0.0000 0.5000
3 Ag 0.5000 0.0000 0.0000
4 Ag 0.5000 0.5000 0.5000
5 C 0.1197 0.3697 0.7500
6 C 0.8803 0.6303 0.2500
7 O 0.1089 0.7073 0.4015
8 O 0.1942 0.2927 0.9015
9 O 0.2437 0.2631 0.5194
10 O 0.2437 0.7244 0.9806
11 O 0.7563 0.2756 0.0194
12 O 0.7563 0.7369 0.4806
13 O 0.8058 0.7073 0.0985
14 O 0.8911 0.2927 0.5985

Total DFT energy (no corrections) = -6.73 eV/atom
V = 12.16 Å³ per atom
Spin magnetization = 0.00 μB per cell
Formation energy without anion corrections = -1.50 eV/atom


[13]
VASP calculation (PBE-GGA) on an optimized crystal structure of SmAgC2O6.

a = 6.5391 Å, b = 6.5391 Å, c = 7.4396 Å
α = 112.13°, β = 112.13°, γ = 85.07°
Fractional coordinates of all 20 atoms:
1 Sm 0.0891 0.9109 0.7500
2 Sm 0.9109 0.0891 0.2500
3 Ag 0.4278 0.5722 0.2500
4 Ag 0.5722 0.4278 0.7500
5 C 0.1109 0.3764 0.7825
6 C 0.3764 0.1109 0.2825
7 C 0.6236 0.8891 0.7175
8 C 0.8891 0.6236 0.2175
9 O 0.0147 0.7880 0.3802
10 O 0.1288 0.5646 0.7755
11 O 0.2120 0.9853 0.1198
12 O 0.2164 0.3273 0.9478
13 O 0.3273 0.2164 0.4478
14 O 0.4354 0.8712 0.7245
15 O 0.5646 0.1288 0.2755
16 O 0.6727 0.7836 0.5522
17 O 0.7836 0.6727 0.0522
18 O 0.7880 0.0147 0.8802
19 O 0.8712 0.4354 0.2245
20 O 0.9853 0.2120 0.6198

Total DFT energy (no corrections) = -7.36 eV/atom
V = 13.62 Å³ per atom
DOS at the Fermi energy = 0.00 states/eV per cell
Spin magnetization = 0.00 μB per cell
Formation energy without anion corrections = -1.78 eV/atom


[14]
VASP calculation (PBE-GGA) on an optimized crystal structure of AgSnCO5.

a = 5.4572 Å, b = 5.4572 Å, c = 7.2170 Å
α = 107.21°, β = 107.21°, γ = 100.43°
Fractional coordinates of all 16 atoms:
1 Ag 0.1436 0.8564 0.7500
2 Ag 0.8564 0.1436 0.2500
3 Sn 0.5000 0.5000 0.0000
4 Sn 0.5000 0.5000 0.5000
5 C 0.1879 0.8121 0.2500
6 C 0.8121 0.1879 0.7500
7 O 0.0823 0.2363 0.8949
8 O 0.1873 0.6387 0.3546
9 O 0.2363 0.0823 0.3949
10 O 0.3613 0.8127 0.1454
11 O 0.3999 0.6001 0.7500
12 O 0.6001 0.3999 0.2500
13 O 0.6387 0.1873 0.8546
14 O 0.7637 0.9177 0.6051
15 O 0.8127 0.3613 0.6454
16 O 0.9177 0.7637 0.1051

Total DFT energy (no corrections) = -5.99 eV/atom
V = 11.71 Å³ per atom
DOS at the Fermi energy = 0.90 states/eV per cell
Spin magnetization = 2.04 μB per cell
Formation energy without anion corrections = -0.88 eV/atom


[15]
VASP calculation (PBE-GGA) on an optimized crystal structure of TaAgCO5.

a = 5.3499 Å, b = 5.3499 Å, c = 7.2553 Å
α = 105.72°, β = 105.72°, γ = 102.44°
Fractional coordinates of all 16 atoms:
1 Ta 0.0000 0.5000 0.0000
2 Ta 0.5000 0.0000 0.5000
3 Ag 0.0874 0.9126 0.7500
4 Ag 0.9126 0.0874 0.2500
5 C 0.4370 0.5630 0.7500
6 C 0.5630 0.4370 0.2500
7 O 0.1769 0.8231 0.2500
8 O 0.2834 0.3442 0.1393
9 O 0.2877 0.6224 0.8839
10 O 0.3442 0.2834 0.6393
11 O 0.3776 0.7123 0.6161
12 O 0.6224 0.2877 0.3839
13 O 0.6558 0.7166 0.3607
14 O 0.7123 0.3776 0.1161
15 O 0.7166 0.6558 0.8607
16 O 0.8231 0.1769 0.7500

Total DFT energy (no corrections) = -7.62 eV/atom
V = 11.43 Å³ per atom
DOS at the Fermi energy = 0.00 states/eV per cell
Spin magnetization = 0.00 μB per cell
Formation energy without anion corrections = -1.53 eV/atom


[16]
VASP calculation (PBE-GGA) on an optimized crystal structure of TiAgCO5.

a = 5.2598 Å, b = 5.2598 Å, c = 7.1673 Å
α = 106.66°, β = 106.66°, γ = 102.35°
Fractional coordinates of all 16 atoms:
1 Ti 0.0000 0.0000 0.0000
2 Ti 0.0000 0.0000 0.5000
3 Ag 0.3384 0.6616 0.7500
4 Ag 0.6616 0.3384 0.2500
5 C 0.3173 0.6827 0.2500
6 C 0.6827 0.3173 0.7500
7 O 0.0763 0.9237 0.7500
8 O 0.1472 0.6999 0.3673
9 O 0.2518 0.4040 0.1110
10 O 0.3001 0.8528 0.1327
11 O 0.4040 0.2518 0.6110
12 O 0.5960 0.7482 0.3890
13 O 0.6999 0.1472 0.8673
14 O 0.7482 0.5960 0.8890
15 O 0.8528 0.3001 0.6327
16 O 0.9237 0.0763 0.2500

Total DFT energy (no corrections) = -7.01 eV/atom
V = 10.77 Å³ per atom
DOS at the Fermi energy = 10.04 states/eV per cell
Spin magnetization = 0.00 μB per cell
Formation energy without anion corrections = -1.42 eV/atom


[17]
VASP calculation (PBE-GGA) on an optimized crystal structure of Tl2AgC2O6.

a = 6.3614 Å, b = 6.3614 Å, c = 6.8410 Å
α = 115.12°, β = 115.12°, γ = 49.00°
Fractional coordinates of all 11 atoms:
1 Tl 0.1896 0.1896 0.2055
2 Tl 0.8104 0.8104 0.7945
3 Ag 0.0000 0.0000 0.5000
4 C 0.4961 0.4961 0.2795
5 C 0.5039 0.5039 0.7205
6 O 0.2169 0.6360 0.2409
7 O 0.3640 0.7831 0.7591
8 O 0.3819 0.3819 0.6546
9 O 0.6181 0.6181 0.3454
10 O 0.6360 0.2169 0.2409
11 O 0.7831 0.3640 0.7591

Total DFT energy (no corrections) = -6.09 eV/atom
V = 16.80 Å³ per atom
DOS at the Fermi energy = 1.91 states/eV per cell
Spin magnetization = 0.00 μB per cell
Formation energy without anion corrections = -1.02 eV/atom


[18]
VASP calculation (PBE-GGA) on an optimized crystal structure of TlAg2C2O6.

a = 5.7380 Å, b = 6.0138 Å, c = 6.2359 Å
α = 115.42°, β = 100.61°, γ = 100.49°
Fractional coordinates of all 11 atoms:
1 Tl 0.0000 0.0000 0.0000
2 Ag 0.2983 0.6827 0.4348
3 Ag 0.7017 0.3173 0.5652
4 C 0.2475 0.2653 0.6806
5 C 0.7525 0.7347 0.3194
6 O 0.0494 0.2904 0.7450
7 O 0.3096 0.3435 0.5256
8 O 0.3918 0.1625 0.7655
9 O 0.6082 0.8375 0.2345
10 O 0.6904 0.6565 0.4744
11 O 0.9506 0.7096 0.2550

Total DFT energy (no corrections) = -5.99 eV/atom
V = 16.60 Å³ per atom
DOS at the Fermi energy = 3.33 states/eV per cell
Spin magnetization = 0.00 μB per cell
Formation energy without anion corrections = -0.87 eV/atom


[19]
VASP calculation (PBE-GGA) on an optimized crystal structure of TmAgC2O6.

a = 6.3477 Å, b = 6.3477 Å, c = 7.1557 Å
α = 110.58°, β = 110.58°, γ = 86.11°
Fractional coordinates of all 20 atoms:
1 Tm 0.0836 0.9164 0.7500
2 Tm 0.9164 0.0836 0.2500
3 Ag 0.4231 0.5769 0.2500
4 Ag 0.5769 0.4231 0.7500
5 C 0.1019 0.3795 0.7740
6 C 0.3795 0.1019 0.2740
7 C 0.6205 0.8981 0.7260
8 C 0.8981 0.6205 0.2260
9 O 0.0211 0.7916 0.3880
10 O 0.1113 0.5727 0.7621
11 O 0.2084 0.9789 0.1120
12 O 0.2123 0.3286 0.9429
13 O 0.3286 0.2123 0.4429
14 O 0.4273 0.8887 0.7379
15 O 0.5727 0.1113 0.2621
16 O 0.6714 0.7877 0.5571
17 O 0.7877 0.6714 0.0571
18 O 0.7916 0.0211 0.8880
19 O 0.8887 0.4273 0.2379
20 O 0.9789 0.2084 0.6120

Total DFT energy (no corrections) = -7.35 eV/atom
V = 12.61 Å³ per atom
DOS at the Fermi energy = 0.00 states/eV per cell
Spin magnetization = 0.00 μB per cell
Formation energy without anion corrections = -1.80 eV/atom